No. 1
# FeSiAg SCAN PBEsol geometry
data_FeSiAg
_cell_length_a 2.8607
_cell_length_b 2.8607
_cell_length_c 5.1707
_cell_angle_alpha 106.06
_cell_angle_beta 106.06
_cell_angle_gamma 90.00
_space_group_name_H-M_alt 'P 1'
_space_group_IT_number 1
loop_
_space_group_symop_operation_xyz
'x,y,z'
loop_
_atom_site_label
_atom_site_fract_x
_atom_site_fract_y
_atom_site_fract_z
_atom_site_occupancy
Ag1 0.0018 0.0018 0.0035 1
Fe1 0.3005 0.3005 0.6011 1
Si1 0.6977 0.6977 0.3954 1
# - Energy above the lowest structure with this stoichiometry: 0 meV/atom
# - Formation energy (no corrections): 0.25 eV/atom
# - Volume: 12.981 A^3/atom


No. 2
# NaMg2TaAs SCAN PBEsol geometry
data_NaMg2TaAs
_cell_length_a 4.8503
_cell_length_b 5.0553
_cell_length_c 5.0553
_cell_angle_alpha 90.00
_cell_angle_beta 90.00
_cell_angle_gamma 90.00
_space_group_name_H-M_alt 'P 1'
_space_group_IT_number 1
loop_
_space_group_symop_operation_xyz
'x,y,z'
loop_
_atom_site_label
_atom_site_fract_x
_atom_site_fract_y
_atom_site_fract_z
_atom_site_occupancy
Ta1 0.5000 0.0000 0.0000 1
Mg1 0.0000 0.0000 0.5000 1
Mg2 0.0000 0.5000 0.0000 1
Na1 0.5000 0.5000 0.5000 1
As1 0.0000 0.0000 0.0000 1
# - Energy above the lowest structure with this stoichiometry: 0 meV/atom
# - Volume: 24.791 A^3/atom


No. 3
# AlNi SCAN PBEsol geometry
data_AlNi
_cell_length_a 2.7188
_cell_length_b 2.7188
_cell_length_c 3.7888
_cell_angle_alpha 90.00
_cell_angle_beta 90.00
_cell_angle_gamma 120.00
_space_group_name_H-M_alt 'P 1'
_space_group_IT_number 1
loop_
_space_group_symop_operation_xyz
'x,y,z'
loop_
_atom_site_label
_atom_site_fract_x
_atom_site_fract_y
_atom_site_fract_z
_atom_site_occupancy
Al1 0.0000 0.0000 0.0000 1
Ni1 0.6667 0.3333 0.5000 1
# - Volume: 12.127 A^3/atom
# - DFT total energy: -25.0 eV/cell


No. 4
# Be2PdPt2 SCAN PBEsol geometry
data_Be2PdPt2
_cell_length_a 2.7536
_cell_length_b 6.6048
_cell_length_c 6.6048
_cell_angle_alpha 90.00
_cell_angle_beta 90.00
_cell_angle_gamma 90.00
_space_group_name_H-M_alt 'P 1'
_space_group_IT_number 1
loop_
_space_group_symop_operation_xyz
'x,y,z'
loop_
_atom_site_label
_atom_site_fract_x
_atom_site_fract_y
_atom_site_fract_z
_atom_site_occupancy
Pt1 0.5000 0.3446 0.1554 1
Pt2 0.5000 0.1554 0.6554 1
Pt3 0.5000 0.6554 0.8446 1
Pt4 0.5000 0.8446 0.3446 1
Be1 0.0000 0.3600 0.8600 1
Be2 0.0000 0.6400 0.1400 1
Be3 0.0000 0.8600 0.6400 1
Be4 0.0000 0.1400 0.3600 1
Pd1 0.0000 0.0000 0.0000 1
Pd2 0.0000 0.5000 0.5000 1
# - Volume: 12.012 A^3/atom
# - DFT total energy: -370.7 eV/cell


No. 5
# Li2GePd SCAN PBEsol geometry
data_Li2GePd
_cell_length_a 4.2318
_cell_length_b 4.2318
_cell_length_c 4.2318
_cell_angle_alpha 60.00
_cell_angle_beta 60.00
_cell_angle_gamma 60.00
_space_group_name_H-M_alt 'P 1'
_space_group_IT_number 1
loop_
_space_group_symop_operation_xyz
'x,y,z'
loop_
_atom_site_label
_atom_site_fract_x
_atom_site_fract_y
_atom_site_fract_z
_atom_site_occupancy
Pd1 0.2500 0.2500 0.2500 1
Li1 0.5000 0.5000 0.5000 1
Li2 0.7500 0.7500 0.7500 1
Ge1 0.0000 0.0000 0.0000 1
# - Volume: 13.397 A^3/atom
# - DFT total energy: -59.1 eV/cell


No. 6
# La2AgAu2 SCAN PBEsol geometry
data_La2AgAu2
_cell_length_a 5.7681
_cell_length_b 5.7370
_cell_length_c 5.7681
_cell_angle_alpha 59.82
_cell_angle_beta 90.00
_cell_angle_gamma 120.18
_space_group_name_H-M_alt 'P 1'
_space_group_IT_number 1
loop_
_space_group_symop_operation_xyz
'x,y,z'
loop_
_atom_site_label
_atom_site_fract_x
_atom_site_fract_y
_atom_site_fract_z
_atom_site_occupancy
Au1 0.6581 0.3163 0.3419 1
Au2 0.3419 0.6837 0.6581 1
La1 0.7500 0.5000 0.7500 1
La2 0.2500 0.5000 0.2500 1
Ag1 0.0000 0.0000 0.0000 1
# - Energy above the lowest structure with this stoichiometry: 223 meV/atom
# - Volume: 26.846 A^3/atom


No. 7
# TaCr2Ru SCAN PBEsol geometry
data_TaCr2Ru
_cell_length_a 2.6637
_cell_length_b 2.6637
_cell_length_c 8.1617
_cell_angle_alpha 90.00
_cell_angle_beta 90.00
_cell_angle_gamma 111.68
_space_group_name_H-M_alt 'P 1'
_space_group_IT_number 1
loop_
_space_group_symop_operation_xyz
'x,y,z'
loop_
_atom_site_label
_atom_site_fract_x
_atom_site_fract_y
_atom_site_fract_z
_atom_site_occupancy
Cr1 0.5000 0.5000 0.7629 1
Cr2 0.0000 0.0000 0.9779 1
Ta1 0.5000 0.5000 0.2424 1
Ru1 0.0000 0.0000 0.5168 1
# - Energy above the lowest structure with this stoichiometry: 152 meV/atom
# - Volume: 13.454 A^3/atom


No. 8
# PrCoGe SCAN PBEsol geometry
data_PrCoGe
_cell_length_a 4.0877
_cell_length_b 4.0877
_cell_length_c 6.8995
_cell_angle_alpha 90.00
_cell_angle_beta 90.00
_cell_angle_gamma 90.00
_space_group_name_H-M_alt 'P 1'
_space_group_IT_number 1
loop_
_space_group_symop_operation_xyz
'x,y,z'
loop_
_atom_site_label
_atom_site_fract_x
_atom_site_fract_y
_atom_site_fract_z
_atom_site_occupancy
Pr1 0.0000 0.5000 0.8131 1
Pr2 0.5000 0.0000 0.1869 1
Co1 0.5000 0.5000 0.5000 1
Co2 0.0000 0.0000 0.5000 1
Ge1 0.0000 0.5000 0.3202 1
Ge2 0.5000 0.0000 0.6798 1
# - Volume: 19.214 A^3/atom
# - DFT total energy: -163.1 eV/cell